Below is crystalline Li4BeAs at its relaxed geometry, with properties calculated at the GGA-PBE level.

Values from the calculation:
DFT formation energy (meV per atom): 191
Total moment (μB per atom): 0.09

Unit cell a=5.025 b=5.025 c=5.025 alpha=60.00 beta=60.00 gamma=60.00
Sites, in units of the cell vectors:
As (0.750, 0.750, 0.750)
Li (0.375, 0.375, 0.375)
Li (0.875, 0.375, 0.375)
Li (0.375, 0.375, 0.875)
Li (0.375, 0.875, 0.375)
Be (0.000, 0.000, 0.000)

Below is crystalline Tb2PmIrO8 at its relaxed geometry, with properties calculated at the GGA-PBE level.

Values from the calculation:
Raw formation energy (meV per atom): -2320.5
Total moment (μB per atom): 0.15

Unit cell a=5.093 b=5.082 c=6.888 alpha=90.00 beta=90.00 gamma=89.97
Sites, in units of the cell vectors:
O (0.267, 0.264, 0.000)
O (0.817, 0.186, 0.795)
O (0.183, 0.814, 0.795)
O (0.817, 0.186, 0.205)
O (0.733, 0.736, 0.000)
O (0.315, 0.312, 0.500)
O (0.183, 0.814, 0.205)
O (0.685, 0.688, 0.500)
Tb (0.500, 0.500, 0.251)
Tb (0.500, 0.500, 0.749)
Pm (0.000, 0.000, 0.500)
Ir (0.000, 0.000, 0.000)

Below is crystalline HfMg6Bi at its relaxed geometry, with properties calculated at the GGA-PBE level.

Values from the calculation:
Distance to the lowest polymorph of the same formula (kJ/mol of atoms): 0.59
DFT formation energy (meV per atom): 45
Total moment (μB per atom): 0.00

Unit cell a=6.446 b=6.446 c=5.097 alpha=90.00 beta=90.00 gamma=118.75
Sites, in units of the cell vectors:
Mg (0.666, 0.830, 0.000)
Mg (0.837, 0.163, 0.500)
Mg (0.346, 0.190, 0.500)
Mg (0.810, 0.654, 0.500)
Mg (0.672, 0.328, 0.000)
Mg (0.170, 0.334, 0.000)
Bi (0.167, 0.833, 0.000)
Hf (0.332, 0.668, 0.500)